A plane-wave DFT calculation with PBE was carried out for a relaxed HgTe2As crystal.

The polymorph energy (0 for the lowest one) comes out at 1.01 eV/f.u. Its total magnetization is 0.00 μB/f.u. As for the energy relative to the elements, uncorrected: 250 meV per atom.

It has space group R-3m (No. 166, hexagonal axes), with a = 3.2272 Å, b = 3.2272 Å, c = 37.9965 Å, α = 90.00°, β = 90.00° and γ = 120.00°. The asymmetric unit holds Hg at (0.0000, 0.0000, 0.0000), Te at (0.0000, 0.0000, 0.4237) and As at (0.0000, 0.0000, 0.5000).

***

A plane-wave DFT calculation with PBE was carried out for a relaxed HgTe2As crystal.

The polymorph energy (0 for the lowest one) comes out at 0.31 eV/f.u. Its total magnetization is 0.00 μB/f.u. As for the energy relative to the elements, uncorrected: 74 meV per atom.

It has space group Pm (No. 6), with a = 3.1142 Å, b = 6.0179 Å, c = 6.1843 Å, α = 90.00°, β = 98.47° and γ = 90.00°. The asymmetric unit holds Hg at (0.0000, 0.0000, 0.0000), Te at (0.0876, 0.5000, 0.9599), Te at (0.8957, 0.0000, 0.4816) and As at (0.9447, 0.5000, 0.5186).

***

A plane-wave DFT calculation with PBE was carried out for a relaxed Hg4TeAs crystal.

Its total magnetization is 0.00 μB/f.u. As for the energy relative to the elements, uncorrected: 473 meV per atom.

It has space group F-43m (No. 216), with a = 8.5192 Å, b = 8.5192 Å, c = 8.5192 Å, α = 90.00°, β = 90.00° and γ = 90.00°. The asymmetric unit holds Hg at (0.1253, 0.1253, 0.1253), Te at (0.2500, 0.2500, 0.7500) and As at (0.0000, 0.0000, 0.5000).

***

A plane-wave DFT calculation with PBE was carried out for a relaxed HgTe2As2 crystal.

The polymorph energy (0 for the lowest one) comes out at 0.79 eV/f.u. Its total magnetization is 0.00 μB/f.u. As for the energy relative to the elements, uncorrected: 290 meV per atom.

It has space group I4/mmm (No. 139), with a = 3.9486 Å, b = 3.9486 Å, c = 16.6620 Å, α = 90.00°, β = 90.00° and γ = 90.00°. The asymmetric unit holds Hg at (0.0000, 0.0000, 0.0000), Te at (0.0000, 0.0000, 0.3979) and As at (0.0000, 0.5000, 0.2500).

***

A plane-wave DFT calculation with PBE was carried out for a relaxed Hg2TeAs crystal.

The polymorph energy (0 for the lowest one) comes out at 1.23 eV/f.u. Its total magnetization is 0.00 μB/f.u. As for the energy relative to the elements, uncorrected: 385 meV per atom.

It has space group P4/mmm (No. 123), with a = 4.8447 Å, b = 4.8447 Å, c = 4.2670 Å, α = 90.00°, β = 90.00° and γ = 90.00°. The asymmetric unit holds Hg at (0.0000, 0.5000, 0.0000), Te at (0.0000, 0.0000, 0.5000) and As at (0.5000, 0.5000, 0.5000).

***

A plane-wave DFT calculation with PBE was carried out for a relaxed HgTe2As crystal.

The polymorph energy (0 for the lowest one) comes out at 0.22 eV/f.u. Its total magnetization is 0.00 μB/f.u. As for the energy relative to the elements, uncorrected: 53 meV per atom.

It has space group Cm (No. 8), with a = 13.3099 Å, b = 4.2414 Å, c = 4.3891 Å, α = 90.00°, β = 91.14° and γ = 90.00°. The asymmetric unit holds Hg at (0.0000, 0.0000, 0.0000), Te at (0.2480, 0.5000, 0.1752), Te at (0.4965, 0.0000, 0.5028) and As at (0.2968, 0.0000, 0.5522).

***

A plane-wave DFT calculation with PBE was carried out for a relaxed Hg2TeAs crystal.

The polymorph energy (0 for the lowest one) comes out at 0.00 eV/f.u. Its total magnetization is 0.00 μB/f.u. As for the energy relative to the elements, uncorrected: 78 meV per atom.

It has space group I-42d (No. 122), with a = 6.4497 Å, b = 6.4497 Å, c = 12.5105 Å, α = 90.00°, β = 90.00° and γ = 90.00°. The asymmetric unit holds Hg at (0.2153, 0.2500, 0.1250), Te at (0.0000, 0.0000, 0.5000) and As at (0.0000, 0.0000, 0.0000).

***

A plane-wave DFT calculation with PBE was carried out for a relaxed HgTe2As crystal.

The polymorph energy (0 for the lowest one) comes out at 1.53 eV/f.u. Its total magnetization is 0.00 μB/f.u. As for the energy relative to the elements, uncorrected: 379 meV per atom.

It has space group Pmmm (No. 47), with a = 3.7171 Å, b = 5.0982 Å, c = 5.4146 Å, α = 90.00°, β = 90.00° and γ = 90.00°. The asymmetric unit holds Hg at (0.0000, 0.0000, 0.0000), Te at (0.0000, 0.5000, 0.5000), Te at (0.5000, 0.5000, 0.0000) and As at (0.5000, 0.0000, 0.5000).

***

no.,calculated volume (Å³/cell)
1,343
2,115
3,618
4,260
5,100
6,248
7,520
8,103